Record 1
First-principles (PBE) data for a relaxed LaSm5Er5 crystal, as listed in Alexandria.

Computed properties:
SG	P-6m2
crystal system	hexagonal
ΔH_f (0 K)	0.2940	eV per atom
magnetization	0.0	μB per formula unit

Unit cell a=6.0986 b=6.0986 c=11.7942 alpha=90.00 beta=90.00 gamma=120.00
Positions (direct):
La 0.0000 0.0000 0.0000
Sm 0.0000 0.0000 0.3234
Sm 0.0000 0.0000 0.6766
Sm 0.3333 0.6667 0.1566
Sm 0.3333 0.6667 0.8434
Sm 0.6667 0.3333 0.0000
Er 0.5004 0.0007 0.5000
Er 0.5004 0.4996 0.5000
Er 0.6667 0.3333 0.2659
Er 0.6667 0.3333 0.7341
Er 0.9993 0.4996 0.5000


Record 2
First-principles (PBE) data for a relaxed La4Sm3Er crystal, as listed in Alexandria.

Computed properties:
SG	C2/m
crystal system	monoclinic
ΔH_f (0 K)	0.2089	eV per atom
magnetization	0.0	μB per formula unit

Unit cell a=25.5416 b=3.5092 c=6.2934 alpha=90.00 beta=93.33 gamma=90.00
Positions (direct):
La 0.1051 0.0000 0.2348
La 0.2200 0.5000 0.2452
La 0.2800 0.0000 0.7548
La 0.3949 0.5000 0.7652
La 0.6051 0.5000 0.2348
La 0.7200 0.0000 0.2452
La 0.7800 0.5000 0.7548
La 0.8949 0.0000 0.7652
Sm 0.0000 0.0000 0.5000
Sm 0.1424 0.0000 0.7438
Sm 0.3576 0.5000 0.2562
Sm 0.5000 0.5000 0.5000
Sm 0.6424 0.5000 0.7438
Sm 0.8576 0.0000 0.2562
Er 0.0000 0.5000 0.0000
Er 0.5000 0.0000 0.0000


Record 3
First-principles (PBE) data for a relaxed La16Sm7Er6 crystal, as listed in Alexandria.

Computed properties:
SG	Fm-3m
crystal system	cubic
ΔH_f (0 K)	0.2009	eV per atom
magnetization	0.0	μB per formula unit

Unit cell a=11.4933 b=11.4933 c=11.4933 alpha=60.00 beta=60.00 gamma=60.00
Positions (direct):
La 0.0498 0.6501 0.6501
La 0.1247 0.1247 0.1247
La 0.1247 0.1247 0.6259
La 0.1247 0.6259 0.1247
La 0.3499 0.3499 0.3499
La 0.3499 0.3499 0.9502
La 0.3499 0.9502 0.3499
La 0.3741 0.8753 0.8753
La 0.6259 0.1247 0.1247
La 0.6501 0.0498 0.6501
La 0.6501 0.6501 0.0498
La 0.6501 0.6501 0.6501
La 0.8753 0.3741 0.8753
La 0.8753 0.8753 0.3741
La 0.8753 0.8753 0.8753
La 0.9502 0.3499 0.3499
Sm 0.0000 0.0000 0.0000
Sm 0.0000 0.0000 0.5000
Sm 0.0000 0.5000 0.0000
Sm 0.0000 0.5000 0.5000
Sm 0.5000 0.0000 0.0000
Sm 0.5000 0.0000 0.5000
Sm 0.5000 0.5000 0.0000
Er 0.2611 0.2611 0.7389
Er 0.2611 0.7389 0.2611
Er 0.2611 0.7389 0.7389
Er 0.7389 0.2611 0.2611
Er 0.7389 0.2611 0.7389
Er 0.7389 0.7389 0.2611


> Which of these has the lowest ΔH_f (0 K)?

La16Sm7Er6


> Which formula does entry 2 have?

La4Sm3Er